No. 1
Cu2AgAu: single point on PBEsol structure, SCAN.

```
Cu2AgAu
1.0
-0.906 -0.806 2.475
-0.848 -3.252 -1.369
5.154 -1.881 1.278
Cu Au Ag
2 1 1
direct
0.000 0.000 0.749
0.000 0.000 0.251
0.500 0.500 0.500
0.500 0.500 0.000
```

The space group is Pmmm (47). For the formation energy, the calculation gives 0.00 eV/atom. Its calculated total energy is -130.9 eV per cell. As for the energy relative to the lowest polymorph listed for this composition: 16.8 meV/atom.

***

No. 2
CuAgAu: single point on PBEsol structure, SCAN.

```
CuAgAu
1.0
-2.665 3.174 -1.050
-2.765 -0.508 -3.221
-4.182 -0.364 0.811
Cu Ag Au
1 1 1
direct
0.000 0.000 0.000
0.500 0.500 0.500
0.250 0.250 0.250
```

The space group is F-43m (216). For the formation energy, the calculation gives 0.28 eV/atom. Its calculated total energy is -114.9 eV per cell. As for the energy relative to the lowest polymorph listed for this composition: 300.9 meV/atom.

***

No. 3
CuAgAu: single point on PBEsol structure, SCAN.

```
CuAgAu
1.0
2.797 0.000 0.000
0.000 3.739 0.000
-1.399 -1.869 4.319
Cu Ag Au
1 1 1
direct
0.332 0.332 0.664
0.993 0.993 0.987
0.675 0.675 0.349
```

The space group is Imm2 (44). For the formation energy, the calculation gives -0.01 eV/atom. Its calculated total energy is -115.8 eV per cell. As for the energy relative to the lowest polymorph listed for this composition: 6.6 meV/atom.

***

The highest energy relative to the lowest polymorph listed for this composition belongs to which entry?
number 2

***

Among the records above, which one has the highest energy relative to the lowest polymorph listed for this composition?
number 2

***

The lowest energy relative to the lowest polymorph listed for this composition belongs to which entry?
number 3

***

What did the first record say?
Cu2AgAu: single point on PBEsol structure, SCAN.

```
Cu2AgAu
1.0
-0.906 -0.806 2.475
-0.848 -3.252 -1.369
5.154 -1.881 1.278
Cu Au Ag
2 1 1
direct
0.000 0.000 0.749
0.000 0.000 0.251
0.500 0.500 0.500
0.500 0.500 0.000
```

The space group is Pmmm (47). For the formation energy, the calculation gives 0.00 eV/atom. Its calculated total energy is -130.9 eV per cell. As for the energy relative to the lowest polymorph listed for this composition: 16.8 meV/atom.